LaI2O (GGA-PBE, relaxed); excess energy over the best structure of this formula in the dataset = 132.4 meV per atom; mass density = 5.92 g cm⁻³
1.0
-2.800 -2.686 -2.071
0.063 -2.726 3.451
-10.500 3.131 5.469
O La I
2 2 4
direct
0.500 0.500 0.000
0.250 0.750 0.500
0.000 0.000 0.000
0.750 0.250 0.500
0.375 0.374 0.750
0.626 0.125 0.250
0.124 0.625 0.250
0.875 0.876 0.750